# Pm2Nd3Er7 PBE optimized geometry
# M_tot in μB/cell: 0.000
# Calculated formation energy in kJ/mol of atoms: 7.8
# E above lowest polymorph in meV/atom: 0
# Density in g cm⁻³: 8.03
data_Pm2Nd3Er7
_symmetry_space_group_name_H-M 'P 1 2/m 1'
_symmetry_Int_Tables_number 10
_cell_length_a 6.376
_cell_length_b 3.548
_cell_length_c 17.316
_cell_angle_alpha 90.00
_cell_angle_beta 90.06
_cell_angle_gamma 90.00
loop_
_symmetry_equiv_pos_as_xyz
'x,y,z'
'-x,-y,-z'
'-x,y,-z'
'x,-y,z'
loop_
_atom_site_label
_atom_site_type_symbol
_atom_site_fract_x
_atom_site_fract_y
_atom_site_fract_z
Pm1 Pm 0.005 0.000 0.175
Nd1 Nd 0.000 0.000 0.500
Nd2 Nd 0.498 0.500 0.160
Er1 Er 0.175 0.500 0.336
Er2 Er 0.254 0.000 0.001
Er3 Er 0.328 0.000 0.664
Er4 Er 0.500 0.500 0.500